No. 1
# Dy4CdIn

Crystalline Dy4CdIn at its relaxed geometry (GGA-PBE, Alexandria).

The space group is P4/mmm (No. 123) and the conventional cell measures 5.132, 5.132 and 7.384 Å, with angles of 90.00, 90.00 and 90.00 degrees. The asymmetric unit holds Dy at (0.000, 0.500, 0.245), Cd at (0.000, 0.000, 0.000) and In at (0.500, 0.500, 0.500).

The value obtained for the energy above the lowest structure with this stoichiometry is 147 kJ/mol of formula units. As for the formation energy: 7 meV/atom. For the size of the total moment, the calculation gives 0.0 μB per formula unit.

***

No. 2
# ZrReAg2

Crystalline ZrReAg2 at its relaxed geometry (GGA-PBE, Alexandria).

The space group is Cmm2 (No. 35) and the conventional cell measures 3.344, 4.583 and 9.381 Å, with angles of 90.00, 90.00 and 90.00 degrees. The asymmetric unit holds Zr at (0.000, 0.000, 0.000), Re at (0.000, 0.500, 0.766), Ag at (0.000, 0.000, 0.519) and Ag at (0.000, 0.500, 0.267).

The value obtained for the energy above the lowest structure with this stoichiometry is 0 kJ/mol of formula units. As for the formation energy: 209 meV/atom. For the size of the total moment, the calculation gives 0.0 μB per formula unit.